# 1
PBE Cs3Np3RuS8, optimized geometry; uncorrected formation energy = -1.1483 eV/atom; size of the total moment = 10.0 μB per formula unit; uncorrected energy = -6.7268 eV per atom
1.0
3.8908 2.2463 8.2960
-3.8908 2.2463 8.2960
0.0000 -4.4927 8.2960
Cs Np Ru S
3 3 1 8
Cartesian
-1.9454 -1.1232 8.2960 Cs
-1.9454 1.1232 16.5921 Cs
0.0000 2.2463 8.2960 Cs
-3.8908 0.0000 12.4440 Np
-1.9454 1.1232 4.1480 Np
1.9454 1.1232 4.1480 Np
0.0000 0.0000 12.4441 Ru
0.0000 0.0000 5.6856 S
-1.8179 -1.0496 13.8584 S
0.0000 -2.0991 11.0297 S
-1.8179 1.0496 11.0297 S
1.8179 -1.0496 13.8584 S
0.0000 2.0991 13.8584 S
1.8179 1.0496 11.0297 S
0.0000 0.0000 19.2025 S

***

# 2
PBE LiTa2TlW, optimized geometry; energy of formation = 1386 meV per atom; size of the total moment = 0.0 μB per formula unit; uncorrected energy = -6.8012 eV per atom
1.0
4.8692 0.0000 0.0000
0.0000 4.8692 0.0000
0.0000 0.0000 4.9360
Li Ta Tl W
1 2 1 1
Cartesian
0.0000 0.0000 0.0000 Li
0.0000 2.4346 2.4680 Ta
2.4346 0.0000 2.4680 Ta
2.4346 2.4346 0.0000 Tl
0.0000 0.0000 2.4680 W

***

# 3
PBE Cs2CaZnCl6, optimized geometry; uncorrected formation energy = -1.8703 eV/atom; size of the total moment = 0.0 μB per formula unit; relative energy among the computed polymorphs = 0.000 kcal/mol of atoms; uncorrected energy = -3.4765 eV per atom
1.0
7.5164 0.0000 0.0000
-3.7582 6.5094 0.0000
0.0000 0.0000 6.6047
Cs Ca Zn Cl
2 1 1 6
Cartesian
0.0000 4.3396 1.3609 Cs
3.7582 2.1698 5.2438 Cs
0.0000 0.0000 3.3024 Ca
0.0000 0.0000 0.0000 Zn
0.0000 2.0307 5.1131 Cl
-1.9996 5.4941 5.1131 Cl
1.7586 1.0154 1.4916 Cl
1.9996 5.4941 5.1131 Cl
5.7578 1.0154 1.4916 Cl
3.7582 4.4787 1.4916 Cl

***

# 4
PBE Re5Tc4Os2, optimized geometry; energy of formation = 451 meV per atom; size of the total moment = 0.0 μB per formula unit; uncorrected energy = -11.0187 eV per atom
1.0
8.8503 -2.0969 0.0000
8.8503 2.0969 0.0000
-1.1833 0.0000 4.7711
Re Tc Os
5 4 2
Cartesian
0.0000 0.0000 0.0000 Re
4.6653 0.0000 2.4016 Re
6.5473 0.0000 0.2035 Re
9.9700 0.0000 4.5676 Re
11.8520 0.0000 2.3694 Re
0.6263 0.0000 2.9459 Tc
7.3175 0.0000 3.3490 Tc
9.1998 0.0000 1.4221 Tc
15.8910 0.0000 1.8252 Tc
2.7734 0.0000 4.2165 Os
13.7439 0.0000 0.5546 Os

***

# 5
PBE Pa2VTcN5, optimized geometry; uncorrected formation energy = -1.1751 eV/atom; size of the total moment = 0.0 μB per formula unit; uncorrected energy = -10.0754 eV per atom
1.0
1.6807 -6.5059 0.0000
1.6807 6.5059 0.0000
0.0000 0.0000 9.6327
Pa V Tc N
4 2 2 10
Cartesian
1.6807 5.0307 4.8163 Pa
1.6807 4.6499 1.1499 Pa
1.6807 -4.6499 5.9662 Pa
1.6807 -5.0307 0.0000 Pa
1.6807 0.6194 2.7082 V
1.6807 -0.6194 7.5245 V
1.6807 3.8313 7.9166 Tc
1.6807 -3.8313 3.1003 Tc
1.6807 5.8459 8.4405 N
1.6807 2.7615 4.5548 N
1.6807 2.4096 1.7464 N
1.6807 1.6320 7.9023 N
1.6807 0.0678 5.7461 N
1.6807 -0.0678 0.9298 N
1.6807 -1.6320 3.0860 N
1.6807 -2.4096 6.5628 N
1.6807 -2.7615 9.3711 N
1.6807 -5.8459 3.6242 N

***

# 6
PBE Mo3Os, optimized geometry; energy of formation = 229 meV per atom; size of the total moment = 0.0 μB per formula unit; relative energy among the computed polymorphs = 5.249 kcal/mol of atoms; uncorrected energy = -10.7020 eV per atom
1.0
5.6398 0.0000 0.0000
-2.8199 4.8842 0.0000
0.0000 0.0000 4.5104
Mo Os
6 2
Cartesian
0.0000 1.6444 1.1276 Mo
-1.3958 4.0620 1.1276 Mo
1.4241 0.8222 3.3828 Mo
1.3958 4.0620 1.1276 Mo
4.2157 0.8222 3.3828 Mo
2.8199 3.2398 3.3828 Mo
0.0000 3.2562 3.3828 Os
2.8199 1.6281 1.1276 Os

***

# 7
PBE NbTcRh2, optimized geometry; energy of formation = -35 meV per atom; size of the total moment = 0.0 μB per formula unit; relative energy among the computed polymorphs = 6.991 kcal/mol of atoms; uncorrected energy = -8.8200 eV per atom
1.0
0.0000 3.1319 3.1319
3.1319 0.0000 3.1319
3.1319 3.1319 0.0000
Nb Tc Rh
1 1 2
Cartesian
0.0000 0.0000 0.0000 Nb
1.5660 1.5660 1.5660 Tc
3.1319 3.1319 3.1319 Rh
4.6979 4.6979 4.6979 Rh

***

# 8
PBE NaCaGaGe2, optimized geometry; energy of formation = 191 meV per atom; size of the total moment = 0.0 μB per formula unit; uncorrected energy = -2.9251 eV per atom
1.0
5.1054 0.0000 0.0000
0.0000 5.1054 0.0000
0.0000 0.0000 5.4656
Na Ca Ga Ge
1 1 1 2
Cartesian
0.0000 0.0000 0.0000 Na
2.5527 2.5527 0.0000 Ca
2.5527 2.5527 2.7328 Ga
0.0000 2.5527 2.7328 Ge
2.5527 0.0000 2.7328 Ge

***

# 9
PBE BaReN3, optimized geometry; uncorrected formation energy = -0.4362 eV/atom; size of the total moment = 0.0 μB per formula unit; uncorrected energy = -8.3056 eV per atom
1.0
5.5687 -6.3276 0.0000
5.5687 6.3276 0.0000
-0.0031 0.0000 5.5121
Ba Re N
4 4 12
Cartesian
2.7822 1.3368 1.1418 Ba
2.7806 -1.3368 3.8979 Ba
8.3537 1.3368 1.6143 Ba
8.3521 -1.3368 4.3703 Ba
5.5679 4.2227 1.3780 Re
5.5664 2.0994 4.1341 Re
5.5679 -2.0994 1.3780 Re
5.5664 -4.2227 4.1341 Re
1.3002 1.0881 3.5136 N
4.7473 3.1612 5.5116 N
1.3018 -1.0881 0.7576 N
4.2648 1.0828 3.5115 N
6.3854 3.1612 2.7565 N
4.2663 -1.0828 0.7555 N
6.8680 1.0828 4.7566 N
4.7489 -3.1612 2.7556 N
6.8695 -1.0828 2.0006 N
9.8326 1.0881 4.7545 N
6.3870 -3.1612 0.0005 N
9.8341 -1.0881 1.9985 N

***

# 10
PBE BaErCdPb, optimized geometry; energy of formation = -288 meV per atom; size of the total moment = 0.0 μB per formula unit; uncorrected energy = -3.0656 eV per atom
1.0
0.0000 4.0176 4.0176
4.0176 0.0000 4.0176
4.0176 4.0176 0.0000
Ba Er Cd Pb
1 1 1 1
Cartesian
0.0000 0.0000 0.0000 Ba
4.0176 4.0176 4.0176 Er
2.0088 2.0088 2.0088 Cd
6.0264 6.0264 6.0264 Pb

***

# 11
PBE SmScInIr, optimized geometry; energy of formation = -492 meV per atom; size of the total moment = 0.0 μB per formula unit; uncorrected energy = -6.1547 eV per atom
1.0
0.0000 3.5335 3.5335
3.5335 0.0000 3.5335
3.5335 3.5335 0.0000
Sm Sc In Ir
1 1 1 1
Cartesian
0.0000 0.0000 0.0000 Sm
3.5335 3.5335 3.5335 Sc
1.7668 1.7668 1.7668 In
5.3003 5.3003 5.3003 Ir

***

# 12
PBE Eu2HgO, optimized geometry; uncorrected formation energy = -1.2958 eV/atom; size of the total moment = 15.2 μB per formula unit; relative energy among the computed polymorphs = 0.000 kcal/mol of atoms; uncorrected energy = -7.7481 eV per atom
1.0
1.8297 1.0564 9.2329
-1.8297 1.0564 9.2329
0.0000 -2.1127 9.2329
Eu Hg O
2 1 1
Cartesian
0.0000 0.0000 3.2255 Eu
0.0000 0.0000 24.4732 Eu
0.0000 0.0000 0.0000 Hg
0.0000 0.0000 13.8494 O